[1]
# Ce2Si5Ni3 meta-GGA SCAN single point on PBEsol structure
data_Ce2Si5Ni3
_chemical_formula_sum 'Ce8 Si20 Ni12'
_cell_length_a 9.470
_cell_length_b 11.212
_cell_length_c 5.683
_cell_angle_alpha 90.00
_cell_angle_beta 90.00
_cell_angle_gamma 90.00
_space_group_name_H-M_alt 'I b a m'
_space_group_IT_number 72
_space_group_name_Hall '-I 2 2c'
loop_
_atom_site_label
_atom_site_fract_x
_atom_site_fract_y
_atom_site_fract_z
Ce1 0.236 0.131 0.000
Si1 0.000 0.000 0.250
Si2 0.000 0.266 0.250
Si3 0.149 0.393 0.000
Ni1 0.000 0.500 0.250
Ni2 0.111 0.134 0.500
# VASP energy = -195.54 eV per formula unit
# Total magnetization = 3.9 Bohr magnetons per cell
# Crystal system = orthorhombic

[2]
# CeSiNi meta-GGA SCAN single point on PBEsol structure
data_CeSiNi
_chemical_formula_sum 'Ce4 Si4 Ni4'
_cell_length_a 3.945
_cell_length_b 3.945
_cell_length_c 13.949
_cell_angle_alpha 90.00
_cell_angle_beta 90.00
_cell_angle_gamma 90.00
_space_group_name_H-M_alt 'I 41 m d'
_space_group_IT_number 109
_space_group_name_Hall 'I 4bw -2'
loop_
_atom_site_label
_atom_site_fract_x
_atom_site_fract_y
_atom_site_fract_z
Ce1 0.000 0.000 0.000
Si1 0.000 0.000 0.583
Ni1 0.000 0.000 0.416
# VASP energy = -72.91 eV per formula unit
# Total magnetization = 0.0 Bohr magnetons per cell
# Crystal system = tetragonal

> Among the records above, which one has the highest total magnetization?

Ce2Si5Ni3

Repeat the second record exactly.
# CeSiNi meta-GGA SCAN single point on PBEsol structure
data_CeSiNi
_chemical_formula_sum 'Ce4 Si4 Ni4'
_cell_length_a 3.945
_cell_length_b 3.945
_cell_length_c 13.949
_cell_angle_alpha 90.00
_cell_angle_beta 90.00
_cell_angle_gamma 90.00
_space_group_name_H-M_alt 'I 41 m d'
_space_group_IT_number 109
_space_group_name_Hall 'I 4bw -2'
loop_
_atom_site_label
_atom_site_fract_x
_atom_site_fract_y
_atom_site_fract_z
Ce1 0.000 0.000 0.000
Si1 0.000 0.000 0.583
Ni1 0.000 0.000 0.416
# VASP energy = -72.91 eV per formula unit
# Total magnetization = 0.0 Bohr magnetons per cell
# Crystal system = tetragonal

> Among the records above, which one has the highest total magnetization?

Ce2Si5Ni3

> What is the total magnetization in the second record?

0.0 Bohr magnetons per cell